Record 1
Cs2Rb2CoF6 | PBE+U | relaxed

It has space group C2/m (No. 12), with a = 6.968 Å, b = 11.183 Å, c = 6.931 Å, α = 90.00°, β = 108.06° and γ = 90.00°. The inequivalent atoms are Cs at (0.000, 0.177, 0.000), Rb at (0.000, 0.343, 0.500), Co at (0.000, 0.000, 0.500), F at (0.182, 0.000, 0.307) and F at (0.186, 0.136, 0.682).

For the total DFT energy (no corrections), the calculation gives -94.81 eV/cell. The size of the total moment comes out at 6.0 Bohr magnetons per cell.

Record 2
Cs2RbCoF6 | PBE+U | relaxed

It has space group R-3m (No. 166, hexagonal axes), with a = 6.3787 Å, b = 6.3787 Å, c = 37.2885 Å, α = 90.00°, β = 90.00° and γ = 120.00°. The inequivalent atoms are Cs at (0.0000, 0.0000, 0.1384), Cs at (0.0000, 0.0000, 0.3012), Rb at (0.0000, 0.0000, 0.4088), Co at (0.0000, 0.0000, 0.0000), Co at (0.0000, 0.0000, 0.5000), F at (0.0481, 0.5240, 0.1364) and F at (0.0528, 0.5264, 0.6956).

For the total DFT energy (no corrections), the calculation gives -259.97 eV/cell. The size of the total moment comes out at 6.0 Bohr magnetons per cell.

Record 3
Cs2CoRhF6 | PBE+U | relaxed

It has space group I4/mmm (No. 139), with a = 6.060 Å, b = 6.060 Å, c = 9.268 Å, α = 90.00°, β = 90.00° and γ = 90.00°. The inequivalent atoms are Cs at (0.000, 0.500, 0.250), Co at (0.000, 0.000, 0.000), Rh at (0.000, 0.000, 0.500), F at (0.000, 0.000, 0.211) and F at (0.243, 0.243, 0.500).

For the total DFT energy (no corrections), the calculation gives -90.79 eV/cell. The size of the total moment comes out at 8.0 Bohr magnetons per cell.

> Which of these has the highest total DFT energy (no corrections)?

Cs2CoRhF6

> What is the formula in the second record?

Cs2RbCoF6